Material: RbMnBr3
Method: DFT, GGA-PBE
State: relaxed

a = 9.693 Å, b = 4.143 Å, c = 15.807 Å
α = 90.00°, β = 90.00°, γ = 90.00°
Space group Pnma (No. 62)
Unique sites:
1 Rb 0.058 0.250 0.174 (multiplicity 4)
2 Mn 0.159 0.750 0.447 (multiplicity 4)
3 Br 0.023 0.750 0.597 (multiplicity 4)
4 Br 0.180 0.750 0.004 (multiplicity 4)
5 Br 0.232 0.250 0.798 (multiplicity 4)

- Total moment: 1.000 μB/atom
- Theoretical density: 3.98 g cm⁻³
- E_form (uncorrected): -113.63 kJ per mole of atoms
- Density of states at the Fermi level: 0.00 states/eV/f.u.